Record 1
Density functional theory data (PBE) for Na2HoSbS4 after structural relaxation.

Results
E: -37.867 eV for the cell shown
Energy relative to the elements, uncorrected: -10.0 eV/f.u.
M_tot: 0.00 Bohr magnetons per cell

Lattice parameters (Å, degrees): 3.976 6.934 7.067 108.88 90.00 90.00
Sites, in units of the cell vectors:
Sb  0.000  0.000  0.000
Na  0.000  0.500  0.500
Na  0.500  0.000  0.500
Ho  0.500  0.500  0.000
S  0.000  0.740  0.226
S  0.500  0.754  0.771
S  0.500  0.246  0.229
S  0.000  0.260  0.774



Record 2
Density functional theory data (PBE) for Y6Mg5 after structural relaxation.

Results
E: -46.630 eV for the cell shown
M_tot: 0.00 Bohr magnetons per cell
Calculated formation energy: 0.012 eV per atom

Lattice parameters (Å, degrees): 5.335 7.534 8.416 90.00 71.52 90.00
Sites, in units of the cell vectors:
Y  0.162  0.250  0.677
Y  0.839  0.250  0.323
Y  0.500  0.752  0.000
Y  0.500  0.248  0.000
Y  0.838  0.750  0.323
Y  0.161  0.750  0.677
Mg  0.000  0.500  0.000
Mg  0.324  0.000  0.352
Mg  0.331  0.500  0.338
Mg  0.676  0.000  0.648
Mg  0.669  0.500  0.662



Record 3
Density functional theory data (PBE) for PmTi2Rh3 after structural relaxation.

Results
E: -46.915 eV for the cell shown
M_tot: 0.00 Bohr magnetons per cell
Calculated formation energy: -0.720 eV per atom

Lattice parameters (Å, degrees): 3.124 3.124 10.505 90.00 90.00 90.00
Sites, in units of the cell vectors:
Rh  0.000  0.000  0.000
Rh  0.000  0.000  0.716
Rh  0.000  0.000  0.284
Ti  0.500  0.500  0.846
Ti  0.500  0.500  0.154
Pm  0.500  0.500  0.500